A plane-wave DFT calculation with SCAN was carried out for a PBEsol-optimized structure of InAg2Hg.

Summary:
The space-group type is Cmmm (65). For the polymorph energy (0 for the lowest one), the calculation gives 26 meV/atom.

Cell: 3.1052 5.0423 5.0423 Å, 105.18 90.00 90.00°
With the nearest neighbours (Å) after each atom.
Sites, in units of the cell vectors:
Ag 0.0000 0.5000 0.0000  4 Hg 2.96, 4 In 2.96, 4 Ag 3.06-3.11
Ag 0.0000 0.0000 0.5000  4 In 2.96, 4 Hg 2.96, 4 Ag 3.06-3.11
In 0.5000 0.5000 0.5000  8 Ag 2.96, 2 Hg 3.06, 2 In 3.11
Hg 0.5000 0.0000 0.0000  8 Ag 2.96, 2 In 3.06, 2 Hg 3.11

=====

A plane-wave DFT calculation with SCAN was carried out for a PBEsol-optimized structure of InAg2Hg.

Summary:
The space-group type is I4/mmm (139). For the polymorph energy (0 for the lowest one), the calculation gives 16 meV/atom.

Cell: 4.2823 4.2823 5.1347 Å, 114.65 114.65 90.00°
With the nearest neighbours (Å) after each atom.
Sites, in units of the cell vectors:
In 0.0000 0.0000 0.0000  8 Ag 2.98, 4 Hg 3.03
Hg 0.5000 0.5000 0.0000  8 Ag 2.98, 4 In 3.03
Ag 0.7500 0.2500 0.5000  4 Hg 2.98, 4 In 2.98, 4 Ag 3.03
Ag 0.2500 0.7500 0.5000  4 Hg 2.98, 4 In 2.98, 4 Ag 3.03

=====

A plane-wave DFT calculation with SCAN was carried out for a PBEsol-optimized structure of InAgHg.

Summary:
The space-group type is P3m1 (156). For the polymorph energy (0 for the lowest one), the calculation gives 41 meV/atom.

Cell: 3.2269 3.2269 6.9295 Å, 90.00 90.00 120.00°
With the nearest neighbours (Å) after each atom.
Sites, in units of the cell vectors:
Ag 0.0000 0.0000 0.9999  3 Hg 2.90, 3 In 2.90, 6 Ag 3.23
In 0.6667 0.3333 0.3201  3 Ag 2.90, 3 Hg 3.11, 6 In 3.23
Hg 0.3333 0.6667 0.6800  3 Ag 2.90, 3 In 3.11, 6 Hg 3.23

=====

A plane-wave DFT calculation with SCAN was carried out for a PBEsol-optimized structure of InAgHg3.

Summary:
The space-group type is Pm-3m (221).

Cell: 5.4045 5.4045 5.4045 Å, 90.00 90.00 90.00°
With the nearest neighbours (Å) after each atom.
Sites, in units of the cell vectors:
Ag 0.5000 0.5000 0.5000  12 Hg 3.82
Hg 0.0000 0.5000 0.0000  2 In 2.70
Hg 0.5000 0.0000 0.0000  2 In 2.70
In 0.0000 0.0000 0.0000  6 Hg 2.70
Hg 0.0000 0.0000 0.5000  2 In 2.70

=====

A plane-wave DFT calculation with SCAN was carried out for a PBEsol-optimized structure of InAg2Hg.

Summary:
The space-group type is Cm (8). For the polymorph energy (0 for the lowest one), the calculation gives 16 meV/atom.

Cell: 3.1818 4.9406 5.2522 Å, 101.84 107.63 90.00°
With the nearest neighbours (Å) after each atom.
Sites, in units of the cell vectors:
Ag 0.2572 0.7476 0.5144  4 In 2.90-2.98, 5 Ag 2.90-3.18, 3 Hg 2.95-2.98
Hg 0.5066 0.5185 0.0132  7 Ag 2.90-2.98, 3 In 3.01-3.14, 2 Hg 3.18
In 0.7432 0.2313 0.4864  7 Ag 2.90-2.98, 3 Hg 3.01-3.14, 2 In 3.18
Ag 0.9930 0.0026 0.9860  5 Ag 2.90-3.18, 4 Hg 2.90-2.98, 3 In 2.96-2.98

=====

A plane-wave DFT calculation with SCAN was carried out for a PBEsol-optimized structure of InAg2Hg.

Summary:
The space-group type is I-4m2 (119). For the polymorph energy (0 for the lowest one), the calculation gives 15 meV/atom.

Cell: 4.2291 4.2291 5.1954 Å, 114.02 114.02 90.00°
With the nearest neighbours (Å) after each atom.
Sites, in units of the cell vectors:
Hg 0.5000 0.5000 0.0000  8 Ag 2.99-3.00, 4 In 3.00
Ag 0.0000 0.0000 0.0000  4 Hg 2.99, 4 In 3.00, 4 Ag 3.00
In 0.2500 0.7500 0.5000  8 Ag 2.99-3.00, 4 Hg 3.00
Ag 0.7500 0.2500 0.5000  4 In 2.99, 4 Hg 3.00, 4 Ag 3.00

=====

| no. | total magnetization (μB per atom) | ΔH_f (0 K) (eV/atom) |
| --- | --- | --- |
| 1 | 0.00 | 0.056 |
| 2 | 0.00 | 0.046 |
| 3 | 0.00 | 0.061 |
| 4 | 0.00 | 0.441 |
| 5 | 0.00 | 0.046 |
| 6 | 0.00 | 0.044 |